(1)
{"formula": "BaHgAu3", "functional": "PBE", "state": "optimized geometry", "lattice": [[5.366, 0.000, 0.000], [0.000, 6.721, 0.000], [0.000, 0.000, 8.391]], "species": ["Ba", "Ba", "Au", "Au", "Au", "Au", "Au", "Au", "Hg", "Hg"], "fractional_positions": [[0.500, 0.000, 0.000], [0.500, 0.500, 0.500], [0.000, 0.711, 0.276], [0.500, 0.000, 0.500], [0.000, 0.289, 0.724], [0.000, 0.211, 0.224], [0.500, 0.500, 0.000], [0.000, 0.789, 0.776], [0.000, 0.500, 0.000], [0.000, 0.000, 0.500]], "volume_a3_per_cell": 302.6, "space_group": "Pbam", "crystal_system": "orthorhombic", "relative_energy_mev_per_atom": 229, "e_form_mev_per_atom": -221}

---

(2)
{"formula": "Ba5HgAu2", "functional": "PBE", "state": "optimized geometry", "lattice": [[8.153, 0.000, -3.849], [-1.817, 7.948, -3.849], [-0.126, -0.158, 10.294]], "species": ["Au", "Au", "Au", "Au", "Ba", "Ba", "Ba", "Ba", "Ba", "Ba", "Ba", "Ba", "Ba", "Ba", "Hg", "Hg"], "fractional_positions": [[0.628, 0.128, 0.000], [0.372, 0.872, 0.000], [0.128, 0.372, 0.000], [0.872, 0.628, 0.000], [0.000, 0.000, 0.000], [0.195, 0.029, 0.724], [0.805, 0.971, 0.276], [0.529, 0.695, 0.724], [0.500, 0.500, 0.000], [0.971, 0.471, 0.276], [0.029, 0.529, 0.724], [0.305, 0.805, 0.276], [0.695, 0.195, 0.724], [0.471, 0.305, 0.276], [0.250, 0.250, 0.500], [0.750, 0.750, 0.500]], "volume_a3_per_cell": 657.2, "space_group": "I4/mcm", "crystal_system": "tetragonal", "e_form_mev_per_atom": -509}

---

(3)
{"formula": "Ba12HgAu5", "functional": "PBE", "state": "optimized geometry", "lattice": [[-5.818, 5.814, 1.727], [-5.869, 1.893, -5.692], [-11.034, -8.848, 6.349]], "species": ["Au", "Au", "Au", "Au", "Au", "Hg", "Ba", "Ba", "Ba", "Ba", "Ba", "Ba", "Ba", "Ba", "Ba", "Ba", "Ba", "Ba"], "fractional_positions": [[0.333, 0.334, 0.000], [0.166, 0.668, 0.500], [0.834, 0.332, 0.500], [0.667, 0.666, 0.000], [0.500, 0.000, 0.500], [0.000, 0.000, 0.000], [0.128, 0.000, 0.616], [0.041, 0.345, 0.881], [0.386, 0.655, 0.881], [0.795, 0.667, 0.614], [0.305, 0.000, 0.119], [0.538, 0.667, 0.386], [0.959, 0.655, 0.119], [0.462, 0.333, 0.614], [0.695, 0.000, 0.881], [0.205, 0.333, 0.386], [0.614, 0.345, 0.119], [0.872, 0.000, 0.384]], "volume_a3_per_cell": 930.6, "space_group": "C2/m", "crystal_system": "monoclinic", "e_form_mev_per_atom": -466}

---

(4)
{"formula": "Ba2HgAu7", "functional": "PBE", "state": "optimized geometry", "lattice": [[4.799, 0.000, 0.000], [0.000, 4.799, 0.000], [0.000, 0.000, 11.326]], "species": ["Au", "Au", "Au", "Au", "Au", "Au", "Au", "Ba", "Ba", "Hg"], "fractional_positions": [[0.000, 0.000, 0.500], [0.500, 0.000, 0.372], [0.000, 0.500, 0.865], [0.000, 0.000, 0.000], [0.000, 0.500, 0.628], [0.500, 0.500, 0.500], [0.500, 0.000, 0.135], [0.000, 0.500, 0.263], [0.500, 0.000, 0.737], [0.500, 0.500, 0.000]], "volume_a3_per_cell": 260.9, "space_group": "P-4m2", "crystal_system": "tetragonal", "e_form_mev_per_atom": -453}

---

(5)
{"formula": "BaHg3Au3", "functional": "PBE", "state": "optimized geometry", "lattice": [[-0.011, 2.514, 4.323], [-5.639, 4.239, -2.480], [-2.809, -8.880, 5.157]], "species": ["Au", "Au", "Au", "Au", "Au", "Au", "Ba", "Ba", "Hg", "Hg", "Hg", "Hg", "Hg", "Hg"], "fractional_positions": [[0.250, 0.211, 0.441], [0.750, 0.789, 0.559], [0.750, 0.988, 0.384], [0.250, 0.686, 0.928], [0.250, 0.012, 0.616], [0.750, 0.314, 0.072], [0.750, 0.357, 0.715], [0.250, 0.643, 0.285], [0.750, 0.905, 0.861], [0.750, 0.359, 0.357], [0.750, 0.733, 0.087], [0.250, 0.267, 0.913], [0.250, 0.641, 0.643], [0.250, 0.095, 0.139]], "volume_a3_per_cell": 358.6, "space_group": "P2_1/m", "crystal_system": "monoclinic", "relative_energy_mev_per_atom": 0, "e_form_mev_per_atom": -340}

---

(6)
{"formula": "BaHgAu4", "functional": "PBE", "state": "optimized geometry", "lattice": [[-4.781, -8.326, 0.591], [7.548, -1.971, 5.627], [-7.238, 6.210, 1.253]], "species": ["Au", "Au", "Au", "Au", "Au", "Au", "Au", "Au", "Au", "Au", "Au", "Au", "Au", "Au", "Au", "Au", "Ba", "Ba", "Ba", "Ba", "Hg", "Hg", "Hg", "Hg"], "fractional_positions": [[0.000, 0.499, 0.856], [0.620, 0.729, 0.891], [0.838, 0.729, 0.109], [0.162, 0.271, 0.891], [0.380, 0.109, 0.271], [0.642, 0.144, 0.144], [0.620, 0.891, 0.729], [0.642, 0.499, 0.499], [0.000, 0.856, 0.499], [0.162, 0.891, 0.271], [0.358, 0.501, 0.501], [0.380, 0.271, 0.109], [0.000, 0.144, 0.501], [0.358, 0.856, 0.856], [0.000, 0.501, 0.144], [0.838, 0.109, 0.729], [0.000, 0.225, 0.225], [0.000, 0.775, 0.775], [0.500, 0.250, 0.750], [0.500, 0.750, 0.250], [0.272, 0.772, 0.500], [0.272, 0.500, 0.772], [0.728, 0.228, 0.500], [0.728, 0.500, 0.228]], "volume_a3_per_cell": 616.0, "space_group": "I4/mmm", "crystal_system": "tetragonal", "relative_energy_mev_per_atom": 134, "e_form_mev_per_atom": -219}

---

(7)
{"formula": "Ba8Hg2Au", "functional": "PBE", "state": "optimized geometry", "lattice": [[5.914, 0.000, 0.000], [0.000, 8.183, 0.298], [-2.957, -3.154, 10.240]], "species": ["Ba", "Ba", "Ba", "Ba", "Ba", "Ba", "Ba", "Ba", "Hg", "Hg", "Au"], "fractional_positions": [[0.788, 0.679, 0.577], [0.035, 0.803, 0.069], [0.591, 0.426, 0.181], [0.965, 0.197, 0.931], [0.409, 0.574, 0.819], [0.212, 0.321, 0.423], [0.661, 0.971, 0.323], [0.339, 0.029, 0.677], [0.187, 0.723, 0.375], [0.813, 0.277, 0.625], [0.500, 0.000, 0.000]], "volume_a3_per_cell": 501.1, "space_group": "C2/m", "crystal_system": "monoclinic", "relative_energy_mev_per_atom": 0, "e_form_mev_per_atom": -298}

---

(8)
{"formula": "BaHg7Au5", "functional": "PBE", "state": "optimized geometry", "lattice": [[-5.063, 2.411, 0.418], [-4.397, -3.623, 5.462], [0.024, 5.652, 5.509]], "species": ["Hg", "Hg", "Hg", "Hg", "Hg", "Hg", "Hg", "Au", "Au", "Au", "Au", "Au", "Ba"], "fractional_positions": [[0.505, 0.210, 0.780], [0.646, 0.354, 0.354], [0.505, 0.780, 0.210], [0.000, 0.356, 0.644], [0.274, 0.226, 0.226], [0.351, 0.649, 0.649], [0.000, 0.644, 0.356], [0.692, 0.808, 0.808], [0.007, 0.983, 0.502], [0.508, 0.502, 0.983], [0.007, 0.502, 0.983], [0.508, 0.983, 0.502], [0.998, 0.002, 0.002]], "volume_a3_per_cell": 305.7, "space_group": "Imm2", "crystal_system": "orthorhombic", "e_form_mev_per_atom": -128}